Entry 1:
Computed, not measured: a geometry-optimized Ni2IrCl structure at the GGA-PBE level of DFT.

Results
Uncorrected formation energy   0.385 eV per atom
Energy above the most stable polymorph in this dataset   195 meV per atom
Size of the total moment   1.21 Bohr magnetons per cell
Calculated density   8.30 g/cm3
SG   Cm

a = 4.267 Å, b = 4.267 Å, c = 6.140 Å
α = 82.31°, β = 82.31°, γ = 38.58°
Last column: magnetic moment on the atom in μB.
Atoms (fractional coordinates):
Cl 0.362 0.362 0.503  0.01
Ir 0.785 0.785 0.840  0.38
Ni 0.046 0.046 0.992  0.54
Ni 0.306 0.306 0.165  0.28

=====

Entry 2:
Computed, not measured: a geometry-optimized Ni2IrCl structure at the GGA-PBE level of DFT.

Results
Uncorrected formation energy   0.384 eV per atom
Energy above the most stable polymorph in this dataset   194 meV per atom
Size of the total moment   0.00 Bohr magnetons per cell
Calculated density   8.64 g/cm3
SG   C2/m

a = 4.310 Å, b = 4.310 Å, c = 7.285 Å
α = 57.59°, β = 57.59°, γ = 36.39°
Atoms (fractional coordinates):
Cl 0.250 0.250 0.250
Ir 0.750 0.750 0.750
Ni 0.935 0.935 0.925
Ni 0.565 0.565 0.575

=====

Entry 3:
Computed, not measured: a geometry-optimized NiIrCl2 structure at the GGA-PBE level of DFT.

Results
Uncorrected formation energy   0.357 eV per atom
Energy above the most stable polymorph in this dataset   278 meV per atom
Size of the total moment   1.97 Bohr magnetons per cell
Calculated density   7.38 g/cm3
SG   P4mm

a = 2.962 Å, b = 2.962 Å, c = 8.253 Å
α = 90.00°, β = 90.00°, γ = 90.00°
Last column: magnetic moment on the atom in μB.
Atoms (fractional coordinates):
Ni 0.500 0.500 0.727  0.97
Ir 0.000 0.000 0.537  0.83
Cl 0.000 0.000 0.905  0.10
Cl 0.500 0.500 0.330  0.04

=====

Entry 4:
Computed, not measured: a geometry-optimized Ni2IrCl structure at the GGA-PBE level of DFT.

Results
Uncorrected formation energy   0.465 eV per atom
Energy above the most stable polymorph in this dataset   275 meV per atom
Size of the total moment   2.49 Bohr magnetons per cell
Calculated density   9.96 g/cm3
SG   P4mm

a = 3.004 Å, b = 3.004 Å, c = 6.379 Å
α = 90.00°, β = 90.00°, γ = 90.00°
Last column: magnetic moment on the atom in μB.
Atoms (fractional coordinates):
Cl 0.000 0.000 0.451  0.09
Ir 0.500 0.500 0.814  0.87
Ni 0.000 0.000 0.014  0.80
Ni 0.500 0.500 0.220  0.76

=====

Entry 5:
Computed, not measured: a geometry-optimized NiIr2Cl structure at the GGA-PBE level of DFT.

Results
Uncorrected formation energy   0.448 eV per atom
Energy above the most stable polymorph in this dataset   154 meV per atom
Size of the total moment   0.00 Bohr magnetons per cell
Calculated density   13.59 g/cm3
SG   P4mm

a = 2.814 Å, b = 2.814 Å, c = 7.389 Å
α = 90.00°, β = 90.00°, γ = 90.00°
Atoms (fractional coordinates):
Cl 0.500 0.500 0.722
Ir 0.000 0.000 0.023
Ir 0.500 0.500 0.262
Ni 0.000 0.000 0.494

=====

Entry 6:
Computed, not measured: a geometry-optimized NiIr2Cl structure at the GGA-PBE level of DFT.

Results
Uncorrected formation energy   0.664 eV per atom
Energy above the most stable polymorph in this dataset   370 meV per atom
Size of the total moment   0.00 Bohr magnetons per cell
Calculated density   13.57 g/cm3
SG   P4/mmm

a = 2.875 Å, b = 2.875 Å, c = 7.089 Å
α = 90.00°, β = 90.00°, γ = 90.00°
Atoms (fractional coordinates):
Cl 0.500 0.500 0.750
Ir 0.000 0.000 0.039
Ir 0.000 0.000 0.461
Ni 0.500 0.500 0.250

=====

| no. | energy (eV per cell) |
| --- | --- |
| 1 | -20.73 |
| 2 | -20.74 |
| 3 | -16.91 |
| 4 | -20.41 |
| 5 | -23.56 |
| 6 | -22.69 |